1.
The following is a DFT calculation (PBE) of a geometry-optimized KHfS3 structure.

## Properties
Its crystal system is orthorhombic. The density of states at the Fermi level is 1.039 states/eV per cell. The calculation puts the energy relative to the lowest polymorph listed for this composition at 1.49 eV/f.u.

Lattice parameters (Å, degrees): 3.819 5.600 16.588 90.00 90.00 90.00
Space group Amm2 (No. 38)
Unique sites:
K 0.000 0.000 0.000 x2
Hf 0.500 0.000 0.726 x2
S 0.000 0.239 0.173 x4
S 0.500 0.000 0.863 x2

=====

2.
The following is a DFT calculation (PBE) of a geometry-optimized KHfS3 structure.

## Properties
Its crystal system is orthorhombic. The density of states at the Fermi level is 0.000 states/eV per cell. The calculation puts the energy relative to the lowest polymorph listed for this composition at 1.25 eV/f.u.

Lattice parameters (Å, degrees): 7.079 11.229 7.896 90.00 90.00 90.00
Space group Pnma (No. 62)
Unique sites:
K 0.000 0.000 0.000 x4
Hf 0.021 0.250 0.414 x4
S 0.063 0.591 0.409 x8
S 0.138 0.750 0.861 x4

=====

3.
The following is a DFT calculation (PBE) of a geometry-optimized K2Hf2S structure.

## Properties
Its crystal system is tetragonal. The density of states at the Fermi level is 8.317 states/eV per cell. The calculation puts the energy relative to the lowest polymorph listed for this composition at 0.00 eV/f.u.

Lattice parameters (Å, degrees): 6.624 6.624 6.902 90.00 90.00 90.00
Space group P4/mbm (No. 127)
Unique sites:
K 0.188 0.312 0.000 x4
Hf 0.159 0.659 0.500 x4
S 0.000 0.000 0.500 x2

=====

4.
The following is a DFT calculation (PBE) of a geometry-optimized K3HfS structure.

## Properties
Its crystal system is cubic. The density of states at the Fermi level is 7.983 states/eV per cell. The calculation puts the energy relative to the lowest polymorph listed for this composition at 3.57 eV/f.u.

Lattice parameters (Å, degrees): 6.424 6.424 6.424 90.00 90.00 90.00
Space group Pm-3m (No. 221)
Unique sites:
K 0.000 0.000 0.500 x3
Hf 0.000 0.000 0.000 x1
S 0.500 0.500 0.500 x1

=====

5.
The following is a DFT calculation (PBE) of a geometry-optimized KHfS3 structure.

## Properties
Its crystal system is triclinic. The density of states at the Fermi level is 0.000 states/eV per cell. The calculation puts the energy relative to the lowest polymorph listed for this composition at 0.25 eV/f.u.

Lattice parameters (Å, degrees): 6.224 6.230 8.257 68.93 69.72 69.19
Space group P1 (No. 1)
Unique sites:
K 0.000 0.000 0.000 x1
K 0.309 0.302 0.159 x1
Hf 0.390 0.419 0.583 x1
Hf 0.879 0.909 0.585 x1
S 0.033 0.554 0.821 x1
S 0.163 0.702 0.356 x1
S 0.236 0.067 0.577 x1
S 0.537 0.778 0.561 x1
S 0.581 0.106 0.821 x1
S 0.754 0.288 0.353 x1

=====

6.
The following is a DFT calculation (PBE) of a geometry-optimized KHfS3 structure.

## Properties
Its crystal system is tetragonal. The density of states at the Fermi level is 1.071 states/eV per cell. The calculation puts the energy relative to the lowest polymorph listed for this composition at 2.26 eV/f.u.

Lattice parameters (Å, degrees): 5.367 5.367 17.506 90.00 90.00 90.00
Space group I-4m2 (No. 119)
Unique sites:
K 0.000 0.000 0.098 x4
Hf 0.000 0.000 0.500 x2
Hf 0.000 0.500 0.250 x2
S 0.000 0.220 0.354 x8
S 0.000 0.500 0.519 x4

=====

7.
The following is a DFT calculation (PBE) of a geometry-optimized KHfS2 structure.

## Properties
Its crystal system is cubic. The density of states at the Fermi level is 13.874 states/eV per cell.

Lattice parameters (Å, degrees): 6.769 6.769 6.769 90.00 90.00 90.00
Space group Fm-3m (No. 225)
Unique sites:
K 0.000 0.000 0.000 x4
Hf 0.000 0.000 0.500 x4
S 0.250 0.250 0.250 x8

=====

8.
The following is a DFT calculation (PBE) of a geometry-optimized KHf6S12 structure.

## Properties
Its crystal system is trigonal. The density of states at the Fermi level is 21.107 states/eV per cell.

Lattice parameters (Å, degrees): 12.4385 12.4385 9.0687 90.00 90.00 120.00
Space group R-3m (No. 166, hexagonal axes)
Unique sites:
K 0.0000 0.0000 0.0000 x3
Hf 0.0739 0.5369 0.2790 x18
S 0.0000 0.3759 0.5000 x18
S 0.0898 0.1796 0.3483 x18

=====

9.
The following is a DFT calculation (PBE) of a geometry-optimized KHfS3 structure.

## Properties
Its crystal system is tetragonal. The density of states at the Fermi level is 8.576 states/eV per cell. The calculation puts the energy relative to the lowest polymorph listed for this composition at 2.98 eV/f.u.

Lattice parameters (Å, degrees): 4.463 4.463 29.212 90.00 90.00 90.00
Space group I-4m2 (No. 119)
Unique sites:
K 0.000 0.000 0.000 x2
K 0.000 0.500 0.250 x2
Hf 0.000 0.500 0.630 x4
S 0.000 0.000 0.325 x4
S 0.000 0.260 0.098 x8

=====

10.
The following is a DFT calculation (PBE) of a geometry-optimized KHfS3 structure.

## Properties
Its crystal system is monoclinic. The density of states at the Fermi level is 0.000 states/eV per cell. The calculation puts the energy relative to the lowest polymorph listed for this composition at 0.48 eV/f.u.

Lattice parameters (Å, degrees): 14.779 11.230 6.594 90.00 94.18 90.00
Space group C2/c (No. 15)
Unique sites:
K 0.000 0.121 0.250 x4
K 0.000 0.338 0.750 x4
Hf 0.249 0.054 0.635 x8
S 0.134 0.475 0.075 x8
S 0.139 0.073 0.915 x8
S 0.208 0.222 0.368 x8

=====

11.
The following is a DFT calculation (PBE) of a geometry-optimized K3Hf5S12 structure.

## Properties
Its crystal system is cubic. The density of states at the Fermi level is 164.009 states/eV per cell.

Lattice parameters (Å, degrees): 16.316 16.316 16.316 90.00 90.00 90.00
Space group Ia-3d (No. 230)
Unique sites:
K 0.000 0.250 0.125 x24
Hf 0.000 0.000 0.000 x16
Hf 0.000 0.250 0.375 x24
S 0.036 0.049 0.644 x96

=====

12.
The following is a DFT calculation (PBE) of a geometry-optimized KHfS3 structure.

## Properties
Its crystal system is triclinic. The density of states at the Fermi level is 0.000 states/eV per cell. The calculation puts the energy relative to the lowest polymorph listed for this composition at 0.24 eV/f.u.

Lattice parameters (Å, degrees): 6.729 7.136 8.379 101.49 102.11 117.98
Space group P1 (No. 1)
Unique sites:
K 0.000 0.000 0.000 x1
K 0.467 0.754 0.451 x1
Hf 0.201 0.187 0.550 x1
Hf 0.812 0.410 0.547 x1
S 0.173 0.851 0.666 x1
S 0.412 0.123 0.341 x1
S 0.601 0.511 0.735 x1
S 0.913 0.739 0.417 x1
S 0.973 0.256 0.736 x1
S 0.992 0.284 0.341 x1

=====

| no. | raw formation energy (eV/atom) |
| --- | --- |
| 1 | -1.079 |
| 2 | -1.127 |
| 3 | 0.097 |
| 4 | 1.181 |
| 5 | -1.327 |
| 6 | -0.925 |
| 7 | -0.663 |
| 8 | -1.254 |
| 9 | -0.780 |
| 10 | -1.281 |
| 11 | -1.330 |
| 12 | -1.330 |